Material: Tb5Te9
Method: DFT, PBEsol
State: relaxed

a = 9.4993 Å, b = 9.4993 Å, c = 17.7569 Å
α = 90.00°, β = 90.00°, γ = 90.00°
With the nearest neighbours (Å) after each atom.
Space group P-4 (No. 81)
Asymmetric unit:
1 Tb 0.0000 0.5000 0.1061 x2  7 Te 3.08-3.11
2 Tb 0.0000 0.5000 0.6268 x2  9 Te 3.15-3.29
3 Tb 0.0905 0.7965 0.3846 x4  8 Te 3.07-3.23
4 Tb 0.0980 0.8026 0.8812 x4  8 Te 3.10-3.31
5 Tb 0.3012 0.4048 0.8838 x4  8 Te 3.07-3.23
6 Tb 0.3020 0.3990 0.3876 x4  8 Te 3.08-3.24
7 Te 0.0000 0.0000 0.2483 x2  2 Te 2.97, 4 Tb 3.11-3.21
8 Te 0.0000 0.5000 0.4473 x2  5 Tb 3.15-3.21
9 Te 0.0000 0.5000 0.9307 x2  5 Tb 3.11-3.15
10 Te 0.0872 0.3727 0.2585 x4  2 Te 2.93-3.23, 3 Tb 3.08-3.23
11 Te 0.0972 0.7989 0.5648 x4  5 Tb 3.08-3.20
12 Te 0.1008 0.7983 0.0629 x4  5 Tb 3.09-3.23
13 Te 0.1364 0.2814 0.7505 x4  2 Te 2.97-3.25, 4 Tb 3.07-3.31
14 Te 0.2069 0.6162 0.7504 x4  3 Te 2.99-3.25, 4 Tb 3.10-3.23
15 Te 0.2984 0.4014 0.0634 x4  5 Tb 3.08-3.19
16 Te 0.3006 0.3950 0.5663 x4  5 Tb 3.10-3.21
17 Te 0.5000 0.5000 0.2494 x2  2 Te 2.99, 4 Tb 3.16-3.24

Magnetization: 0.00 μB per formula unit
DOS(E_F): 0.81 states/eV/f.u.
Energy: -0.394 Ry/atom